Compound: Tl2PdPt2
Source: the Open Quantum Materials Database
Functional: PBE
Structure: optimized geometry

```
data_Tl2PdPt2
_chemical_formula_sum 'Tl4 Pd2 Pt4'
_cell_length_a 4.3713
_cell_length_b 4.3713
_cell_length_c 11.6135
_cell_angle_alpha 90.00
_cell_angle_beta 90.00
_cell_angle_gamma 90.00
_symmetry_space_group_name_H-M 'I 4/m m m'
_symmetry_Int_Tables_number 139
_symmetry_space_group_name_Hall '-I 4 2'
loop_
_atom_site_label
_atom_site_fract_x
_atom_site_fract_y
_atom_site_fract_z
_atom_site_occupancy
Tl1 0.0000 0.5000 0.2500 1
Pd1 0.0000 0.0000 0.0000 1
Pt1 0.0000 0.0000 0.3918 1
```

***

Compound: Zr3Tl2ZnPdPt2
Source: the Open Quantum Materials Database
Functional: PBE
Structure: optimized geometry

```
data_Zr3Tl2ZnPdPt2
_chemical_formula_sum 'Zr6 Tl4 Zn2 Pd2 Pt4'
_cell_length_a 3.5171
_cell_length_b 13.2325
_cell_length_c 7.5521
_cell_angle_alpha 90.00
_cell_angle_beta 90.00
_cell_angle_gamma 90.00
_symmetry_space_group_name_H-M 'A m m 2'
_symmetry_Int_Tables_number 38
loop_
_symmetry_equiv_pos_as_xyz
'x,y,z'
'-x,-y,z'
'-x,y,z'
'x,-y,z'
'x,y+1/2,z+1/2'
'-x,-y+1/2,z+1/2'
'-x,y+1/2,z+1/2'
'x,-y+1/2,z+1/2'
loop_
_atom_site_label
_atom_site_fract_x
_atom_site_fract_y
_atom_site_fract_z
_atom_site_occupancy
Zr1 0.0000 0.0000 0.0000 1
Zr2 0.0000 0.1909 0.6259 1
Tl1 0.5000 0.1335 0.2812 1
Zn1 0.5000 0.0000 0.6922 1
Pd1 0.0000 0.0000 0.4423 1
Pt1 0.5000 0.1623 0.9065 1
```

***

# Tm2Pd5Pt PBE optimized geometry
# ΔE_f = -0.9542 eV/atom
data_Tm2Pd5Pt
_chemical_formula_sum 'Tm4 Pd10 Pt2'
_cell_length_a 5.7665
_cell_length_b 11.5385
_cell_length_c 4.0919
_cell_angle_alpha 90.00
_cell_angle_beta 90.00
_cell_angle_gamma 90.00
_symmetry_space_group_name_H-M 'P b a m'
_symmetry_Int_Tables_number 55
loop_
_symmetry_equiv_pos_as_xyz
'x,y,z'
'-x,-y,-z'
'-x,-y,z'
'x,y,-z'
'x+1/2,-y+1/2,-z'
'-x+1/2,y+1/2,z'
'-x+1/2,y+1/2,-z'
'x+1/2,-y+1/2,z'
loop_
_atom_site_label
_atom_site_fract_x
_atom_site_fract_y
_atom_site_fract_z
_atom_site_occupancy
Tm1 0.2497 0.1246 0.0000 1
Pd1 0.0000 0.0000 0.5000 1
Pd2 0.0020 0.7498 0.5000 1
Pd3 0.2481 0.3751 0.0000 1
Pt1 0.0000 0.5000 0.5000 1

***

# PdPtW PBE optimized geometry
# ΔE_f = 0.4614 eV/atom
# E above lowest polymorph = 697 meV per atom
data_PdPtW
_chemical_formula_sum 'Pd4 Pt4 W4'
_cell_length_a 6.0368
_cell_length_b 6.0368
_cell_length_c 6.0368
_cell_angle_alpha 90.00
_cell_angle_beta 90.00
_cell_angle_gamma 90.00
_symmetry_space_group_name_H-M 'F -4 3 m'
_symmetry_Int_Tables_number 216
_symmetry_space_group_name_Hall 'F -4 2 3'
loop_
_atom_site_label
_atom_site_fract_x
_atom_site_fract_y
_atom_site_fract_z
_atom_site_occupancy
Pd1 0.0000 0.0000 0.0000 1
Pt1 0.2500 0.2500 0.2500 1
W1 0.0000 0.0000 0.5000 1

***

# PdPt3W2 PBE optimized geometry
# ΔE_f = -0.2912 eV/atom
data_PdPt3W2
_chemical_formula_sum 'Pd1 Pt3 W2'
_cell_length_a 2.7909
_cell_length_b 3.9786
_cell_length_c 8.3432
_cell_angle_alpha 90.00
_cell_angle_beta 90.00
_cell_angle_gamma 90.00
_symmetry_space_group_name_H-M 'P m m 2'
_symmetry_Int_Tables_number 25
loop_
_symmetry_equiv_pos_as_xyz
'x,y,z'
'-x,-y,z'
'-x,y,z'
'x,-y,z'
loop_
_atom_site_label
_atom_site_fract_x
_atom_site_fract_y
_atom_site_fract_z
_atom_site_occupancy
Pd1 0.0000 0.0000 0.0000 1
Pt1 0.0000 0.0000 0.3256 1
Pt2 0.5000 0.5000 0.5023 1
Pt3 0.5000 0.5000 0.8314 1
W1 0.0000 0.0000 0.6650 1
W2 0.5000 0.5000 0.1667 1

***

# PdPtW PBE optimized geometry
# ΔE_f = 0.3707 eV/atom
# E above lowest polymorph = 607 meV per atom
data_PdPtW
_chemical_formula_sum 'Pd4 Pt4 W4'
_cell_length_a 6.0426
_cell_length_b 6.0426
_cell_length_c 6.0426
_cell_angle_alpha 90.00
_cell_angle_beta 90.00
_cell_angle_gamma 90.00
_symmetry_space_group_name_H-M 'F -4 3 m'
_symmetry_Int_Tables_number 216
_symmetry_space_group_name_Hall 'F -4 2 3'
loop_
_atom_site_label
_atom_site_fract_x
_atom_site_fract_y
_atom_site_fract_z
_atom_site_occupancy
Pd1 0.0000 0.0000 0.0000 1
Pt1 0.0000 0.0000 0.5000 1
W1 0.2500 0.2500 0.2500 1

***

# PdPtW6 PBE optimized geometry
# ΔE_f = 0.1240 eV/atom
data_PdPtW6
_chemical_formula_sum 'Pd1 Pt1 W6'
_cell_length_a 5.7156
_cell_length_b 5.7156
_cell_length_c 4.5294
_cell_angle_alpha 90.00
_cell_angle_beta 90.00
_cell_angle_gamma 120.00
_symmetry_space_group_name_H-M 'P -6 m 2'
_symmetry_Int_Tables_number 187
_symmetry_space_group_name_Hall 'P -6 2'
loop_
_atom_site_label
_atom_site_fract_x
_atom_site_fract_y
_atom_site_fract_z
_atom_site_occupancy
Pd1 0.0000 0.0000 0.0000 1
Pt1 0.3333 0.6667 0.5000 1
W1 0.3448 0.1724 0.5000 1
W2 0.5073 0.0146 0.0000 1

***

# Pd3PtW2 PBE optimized geometry
# ΔE_f = -0.1587 eV/atom
data_Pd3PtW2
_chemical_formula_sum 'Pd3 Pt1 W2'
_cell_length_a 2.7799
_cell_length_b 3.9685
_cell_length_c 8.2819
_cell_angle_alpha 90.00
_cell_angle_beta 90.00
_cell_angle_gamma 90.00
_symmetry_space_group_name_H-M 'P m m 2'
_symmetry_Int_Tables_number 25
loop_
_symmetry_equiv_pos_as_xyz
'x,y,z'
'-x,-y,z'
'-x,y,z'
'x,-y,z'
loop_
_atom_site_label
_atom_site_fract_x
_atom_site_fract_y
_atom_site_fract_z
_atom_site_occupancy
Pd1 0.0000 0.0000 0.0000 1
Pd2 0.0000 0.0000 0.3278 1
Pd3 0.5000 0.5000 0.4953 1
Pt1 0.5000 0.5000 0.8259 1
W1 0.0000 0.0000 0.6643 1
W2 0.5000 0.5000 0.1625 1

***

# Y4PdPt3 PBE optimized geometry
# ΔE_f = -1.1814 eV/atom
data_Y4PdPt3
_chemical_formula_sum 'Y4 Pd1 Pt3'
_cell_length_a 5.5883
_cell_length_b 4.5523
_cell_length_c 7.0532
_cell_angle_alpha 90.00
_cell_angle_beta 90.01
_cell_angle_gamma 90.00
_symmetry_space_group_name_H-M 'P 1 m 1'
_symmetry_Int_Tables_number 6
loop_
_symmetry_equiv_pos_as_xyz
'x,y,z'
'x,-y,z'
loop_
_atom_site_label
_atom_site_fract_x
_atom_site_fract_y
_atom_site_fract_z
_atom_site_occupancy
Y1 0.0000 0.0000 0.0000 1
Y2 0.2123 0.0000 0.5024 1
Y3 0.4973 0.5000 0.1317 1
Y4 0.7162 0.5000 0.6396 1
Pd1 0.7032 0.0000 0.3598 1
Pt1 0.0085 0.5000 0.2773 1
Pt2 0.2017 0.5000 0.7749 1
Pt3 0.5123 0.0000 0.8605 1

***

# YPd2Pt2 PBE optimized geometry
# ΔE_f = -0.5643 eV/atom
# E above lowest polymorph = 0 meV per atom
data_YPd2Pt2
_chemical_formula_sum 'Y2 Pd4 Pt4'
_cell_length_a 3.8925
_cell_length_b 3.8925
_cell_length_c 12.4615
_cell_angle_alpha 90.00
_cell_angle_beta 90.00
_cell_angle_gamma 90.00
_symmetry_space_group_name_H-M 'I 4/m m m'
_symmetry_Int_Tables_number 139
_symmetry_space_group_name_Hall '-I 4 2'
loop_
_atom_site_label
_atom_site_fract_x
_atom_site_fract_y
_atom_site_fract_z
_atom_site_occupancy
Y1 0.0000 0.0000 0.0000 1
Pd1 0.0000 0.5000 0.2500 1
Pt1 0.0000 0.0000 0.3995 1

***

# Y2PdPt PBE optimized geometry
# ΔE_f = -1.0978 eV/atom
data_Y2PdPt
_chemical_formula_sum 'Y4 Pd2 Pt2'
_cell_length_a 4.5662
_cell_length_b 5.5801
_cell_length_c 7.0392
_cell_angle_alpha 90.00
_cell_angle_beta 90.00
_cell_angle_gamma 90.00
_symmetry_space_group_name_H-M 'P m c 21'
_symmetry_Int_Tables_number 26
loop_
_symmetry_equiv_pos_as_xyz
'x,y,z'
'-x,-y,z+1/2'
'-x,y,z'
'x,-y,z+1/2'
loop_
_atom_site_label
_atom_site_fract_x
_atom_site_fract_y
_atom_site_fract_z
_atom_site_occupancy
Y1 0.0000 0.1037 0.0000 1
Y2 0.5000 0.3892 0.6339 1
Pd1 0.0000 0.4042 0.3580 1
Pt1 0.5000 0.0980 0.2748 1

***

# Y2PdPt PBE optimized geometry
# ΔE_f = -1.0943 eV/atom
data_Y2PdPt
_chemical_formula_sum 'Y4 Pd2 Pt2'
_cell_length_a 5.6050
_cell_length_b 4.5281
_cell_length_c 7.5168
_cell_angle_alpha 90.00
_cell_angle_beta 109.64
_cell_angle_gamma 90.00
_symmetry_space_group_name_H-M 'P 1 21/m 1'
_symmetry_Int_Tables_number 11
loop_
_symmetry_equiv_pos_as_xyz
'x,y,z'
'-x,-y,-z'
'-x,y+1/2,-z'
'x,-y+1/2,z'
loop_
_atom_site_label
_atom_site_fract_x
_atom_site_fract_y
_atom_site_fract_z
_atom_site_occupancy
Y1 0.2207 0.2500 0.4335 1
Y2 0.2272 0.2500 0.9281 1
Pd1 0.3228 0.7500 0.2059 1
Pt1 0.3315 0.7500 0.7075 1

***

# YPdPt PBE optimized geometry
# ΔE_f = -0.7267 eV/atom
# E above lowest polymorph = 0 meV per atom
data_YPdPt
_chemical_formula_sum 'Y4 Pd4 Pt4'
_cell_length_a 6.4751
_cell_length_b 6.4751
_cell_length_c 6.4751
_cell_angle_alpha 90.00
_cell_angle_beta 90.00
_cell_angle_gamma 90.00
_symmetry_space_group_name_H-M 'F -4 3 m'
_symmetry_Int_Tables_number 216
_symmetry_space_group_name_Hall 'F -4 2 3'
loop_
_atom_site_label
_atom_site_fract_x
_atom_site_fract_y
_atom_site_fract_z
_atom_site_occupancy
Y1 0.0000 0.0000 0.0000 1
Pd1 0.0000 0.0000 0.5000 1
Pt1 0.2500 0.2500 0.7500 1

***

| no. | VASP energy (eV per atom) | volume (A^3/atom) |
| --- | --- | --- |
| 1 | -4.023 | 22.2 |
| 2 | -6.031 | 19.5 |
| 3 | -6.064 | 17.0 |
| 4 | -7.602 | 18.3 |
| 5 | -8.502 | 15.4 |
| 6 | -7.693 | 18.4 |
| 7 | -11.000 | 16.0 |
| 8 | -8.076 | 15.2 |
| 9 | -7.332 | 22.4 |
| 10 | -6.350 | 18.9 |
| 11 | -7.138 | 22.4 |
| 12 | -7.135 | 22.5 |
| 13 | -6.625 | 22.6 |